FeCu2O4: optimized geometry, PBE+U.

Lattice parameters (Å, degrees): 7.852 7.871 10.615 90.00 90.00 90.00
Space group Fddd (No. 70, origin choice 2)
Inequivalent atoms, fractional coordinates:
Fe (0.125, 0.125, 0.125) x8
Cu (0.000, 0.000, 0.500) x16
O (0.010, 0.011, 0.764) x32

Results
Spin magnetization (μB per atom): 0.572
Raw total energy (eV per cell): -314.45